Entry 1:
First-principles (PBE) data for a relaxed KTaCl2 crystal, as listed in Alexandria.

Electronic total energy ... -4.567 eV/atom
Space-group type ... Pm, No. 6
Volume ... 25.0 A^3/atom

```
KTaCl2
1.0
3.2040 0.0000 0.0000
0.0000 4.7187 0.0000
-1.5982 0.0000 6.6228
K Ta Cl
1 1 2
Direct
0.0000 0.0000 0.0000
0.7152 0.5000 0.4331
0.3691 0.5000 0.7418
0.7077 0.0000 0.4181
```

***

Entry 2:
First-principles (PBE) data for a relaxed HgPbBr2 crystal, as listed in Alexandria.

Electronic total energy ... -2.296 eV/atom
Space-group type ... Fm-3m, No. 225
Volume ... 29.7 A^3/atom

```
HgPbBr2
1.0
0.0000 3.9007 3.9007
3.9007 0.0000 3.9007
3.9007 3.9007 0.0000
Hg Pb Br
1 1 2
Direct
0.0000 0.0000 0.0000
0.5000 0.5000 0.5000
0.2500 0.2500 0.2500
0.7500 0.7500 0.7500
```

***

Entry 3:
First-principles (PBE) data for a relaxed Ce2VTe crystal, as listed in Alexandria.

Electronic total energy ... -6.204 eV/atom
Space-group type ... R-3m, No. 166
Volume ... 28.3 A^3/atom

```
Ce2VTe
1.0
2.0141 1.1628 8.0458
-2.0141 1.1628 8.0458
0.0000 -2.3257 8.0458
Ce V Te
2 1 1
Direct
0.2440 0.2440 0.2440
0.7560 0.7560 0.7560
0.5000 0.5000 0.5000
0.0000 0.0000 0.0000
```

***

Entry 4:
First-principles (PBE) data for a relaxed Sr2SmCdS4 crystal, as listed in Alexandria.

Electronic total energy ... -4.836 eV/atom
Space-group type ... P2/m, No. 10
Volume ... 25.2 A^3/atom

```
Sr2SmCdS4
1.0
7.0744 0.0000 0.0000
0.0000 4.1287 0.0000
-2.5016 0.0000 6.9020
Sr Sm Cd S
2 1 1 4
Direct
0.0000 0.0000 0.0000
0.0000 0.5000 0.5000
0.5000 0.0000 0.5000
0.5000 0.5000 0.0000
0.2642 0.5000 0.2595
0.2716 0.0000 0.7515
0.7284 0.0000 0.2485
0.7358 0.5000 0.7405
```